Record 1
Computed, not measured: crystalline Ta2Zn2As at its relaxed geometry at the PBE-GGA level of DFT.

As for the final energy: -5.591 eV/atom.

It has space group I4/mmm (No. 139), with a = 3.787 Å, b = 3.787 Å, c = 13.169 Å, α = 90.00°, β = 90.00° and γ = 90.00°. The inequivalent atoms are Ta at (0.000, 0.500, 0.250), Zn at (0.000, 0.000, 0.092) and As at (0.000, 0.000, 0.500).


Record 2
Computed, not measured: crystalline PmHoN2 at its relaxed geometry at the PBE-GGA level of DFT.

The raw formation energy comes out at -6.293 eV per formula unit.

It has space group R-3m (No. 166, hexagonal axes), with a = 3.5321 Å, b = 3.5321 Å, c = 17.3194 Å, α = 90.00°, β = 90.00° and γ = 120.00°. The inequivalent atoms are Pm at (0.0000, 0.0000, 0.0000), Ho at (0.0000, 0.0000, 0.5000) and N at (0.0000, 0.0000, 0.2467).


Record 3
Computed, not measured: crystalline BaLaPb2 at its relaxed geometry at the PBE-GGA level of DFT.

As for the final energy: -3.811 eV/atom.

It has space group P4mm (No. 99), with a = 4.863 Å, b = 4.863 Å, c = 6.895 Å, α = 90.00°, β = 90.00° and γ = 90.00°. The inequivalent atoms are Ba at (0.000, 0.000, 0.000), La at (0.500, 0.500, 0.473), Pb at (0.000, 0.000, 0.501) and Pb at (0.500, 0.500, 0.959).


Record 4
Computed, not measured: crystalline Tl3IrRh2Se6 at its relaxed geometry at the PBE-GGA level of DFT.

The raw formation energy comes out at -4.044 eV per formula unit.

It has space group C2/m (No. 12), with a = 6.696 Å, b = 11.584 Å, c = 7.573 Å, α = 90.00°, β = 107.10° and γ = 90.00°. The inequivalent atoms are Tl at (0.000, 0.000, 0.000), Tl at (0.000, 0.334, 0.000), Ir at (0.000, 0.500, 0.500), Rh at (0.000, 0.167, 0.500), Se at (0.222, 0.334, 0.668) and Se at (0.224, 0.000, 0.668).


Record 5
Computed, not measured: crystalline Cd6Sn3Pb at its relaxed geometry at the PBE-GGA level of DFT.

As for the final energy: -2.056 eV/atom.

It has space group Cmc2_1 (No. 36), with a = 8.105 Å, b = 14.259 Å, c = 9.113 Å, α = 90.00°, β = 90.00° and γ = 90.00°. The inequivalent atoms are Cd at (0.000, 0.009, 0.000), Cd at (0.000, 0.284, 0.839), Cd at (0.184, 0.160, 0.618), Cd at (0.240, 0.460, 0.772), Sn at (0.000, 0.455, 0.046), Sn at (0.201, 0.353, 0.460) and Pb at (0.000, 0.206, 0.216).


Record 6
Computed, not measured: crystalline TaRe2Ir at its relaxed geometry at the PBE-GGA level of DFT.

As for the final energy: -10.859 eV/atom.

It has space group I-42d (No. 122), with a = 3.687 Å, b = 3.687 Å, c = 20.023 Å, α = 90.00°, β = 90.00° and γ = 90.00°. The inequivalent atoms are Ta at (0.000, 0.000, 0.000), Re at (0.241, 0.250, 0.625) and Ir at (0.000, 0.000, 0.500).


Number 1: total moment 0.0 μB/cell, mass density 9.980 Mg/m³. Number 2: total moment 0.0 μB/cell, mass density 8.997 Mg/m³. Number 3: total moment 0.0 μB/cell, mass density 7.032 Mg/m³. Number 4: total moment 0.0 μB/cell, mass density 8.784 Mg/m³. Number 5: total moment 0.0 μB/cell, mass density 7.807 Mg/m³. Number 6: total moment 0.0 μB/cell, mass density 18.197 Mg/m³.